Compound: AcPaCo2O7
Source: Alexandria
Functional: GGA+U
Structure: optimized geometry

Spin magnetization (μB per formula unit): 4.21
Calculated total energy (eV per atom): -7.536

Lattice parameters (Å, degrees): 9.006 9.006 9.006 153.28 153.28 38.14
Element x y z (fractional)
1 Ac 0.000 0.000 0.000
2 Pa 0.750 0.250 0.500
3 Co 0.392 0.392 0.000
4 Co 0.608 0.608 0.000
5 O 0.095 0.595 0.500
6 O 0.276 0.276 0.000
7 O 0.405 0.905 0.500
8 O 0.500 0.500 0.000
9 O 0.619 0.119 0.500
10 O 0.724 0.724 0.000
11 O 0.881 0.381 0.500